(1)
This record from Alexandria describes a relaxed Zr2ScHg crystal. The functional is PBE-GGA.

Unit cell a=3.215 b=3.215 c=8.763 alpha=90.00 beta=90.00 gamma=90.00
Sites, in units of the cell vectors:
Zr (0.000, 0.000, 0.244)
Zr (0.000, 0.000, 0.756)
Sc (0.500, 0.500, 0.500)
Hg (0.500, 0.500, 0.000)

space-group type	No. 123
calculated total energy	-6.0142	eV/atom
magnetization	0.00	μB per cell
energy relative to the elements	-1.89	kcal/mol of atoms


(2)
This record from Alexandria describes a relaxed Zr2ScHg crystal. The functional is PBE-GGA.

Unit cell a=4.297 b=4.297 c=9.520 alpha=90.00 beta=90.00 gamma=90.00
Sites, in units of the cell vectors:
Zr (0.000, 0.500, 0.250)
Zr (0.000, 0.500, 0.750)
Zr (0.500, 0.000, 0.250)
Zr (0.500, 0.000, 0.750)
Sc (0.000, 0.000, 0.000)
Sc (0.500, 0.500, 0.500)
Hg (0.000, 0.000, 0.500)
Hg (0.500, 0.500, 0.000)

space-group type	No. 139
calculated total energy	-6.0809	eV/atom
magnetization	0.00	μB per cell
energy relative to the elements	-3.42	kcal/mol of atoms


(3)
This record from Alexandria describes a relaxed Zr2ScHg crystal. The functional is PBE-GGA.

Unit cell a=5.176 b=5.176 c=3.321 alpha=90.00 beta=90.00 gamma=90.00
Sites, in units of the cell vectors:
Zr (0.000, 0.500, 0.000)
Zr (0.500, 0.000, 0.000)
Sc (0.000, 0.000, 0.500)
Hg (0.500, 0.500, 0.500)

space-group type	No. 123
calculated total energy	-5.9345	eV/atom
magnetization	0.00	μB per cell
energy relative to the elements	-0.05	kcal/mol of atoms


(4)
This record from Alexandria describes a relaxed ZrSc5Hg6 crystal. The functional is PBE-GGA.

Unit cell a=7.858 b=7.858 c=7.092 alpha=90.00 beta=90.00 gamma=143.24
Sites, in units of the cell vectors:
Zr (0.000, 0.000, 0.000)
Sc (0.000, 0.000, 0.500)
Sc (0.334, 0.666, 0.500)
Sc (0.337, 0.663, 0.000)
Sc (0.663, 0.337, 0.000)
Sc (0.666, 0.334, 0.500)
Hg (0.169, 0.831, 0.252)
Hg (0.169, 0.831, 0.748)
Hg (0.500, 0.500, 0.259)
Hg (0.500, 0.500, 0.741)
Hg (0.831, 0.169, 0.252)
Hg (0.831, 0.169, 0.748)

space-group type	No. 65
calculated total energy	-3.8751	eV/atom
magnetization	1.89	μB per cell
energy relative to the elements	-8.62	kcal/mol of atoms